1.
The following is a PBEsol calculation of a relaxed structure of Y2BeAg, from the Alexandria database.

Its formation energy from the elements is 0.18 eV per atom. For the uncorrected energy, the calculation gives -5.0572 eV/atom.

Cell lengths 8.487, 8.487, 8.487 Å; angles 24.54, 24.54, 24.54 degrees
Sites, in units of the cell vectors:
Y: 0.243 0.243 0.243
Y: 0.757 0.757 0.757
Be: 0.500 0.500 0.500
Ag: 0.000 0.000 0.000

---

2.
The following is a PBEsol calculation of a relaxed structure of Be2ZnAg, from the Alexandria database.

Its formation energy from the elements is 0.12 eV per atom. For the uncorrected energy, the calculation gives -3.1028 eV/atom.

Cell lengths 4.566, 4.566, 4.156 Å; angles 108.05, 108.05, 34.66 degrees
Sites, in units of the cell vectors:
Be: 0.000 0.000 0.000
Be: 0.716 0.716 0.274
Zn: 0.470 0.470 0.464
Ag: 0.248 0.248 0.805

---

3.
The following is a PBEsol calculation of a relaxed structure of Be2ZnAg, from the Alexandria database.

Its formation energy from the elements is 0.15 eV per atom. For the uncorrected energy, the calculation gives -3.0783 eV/atom.

Cell lengths 4.504, 4.504, 4.504 Å; angles 133.72, 133.72, 67.53 degrees
Sites, in units of the cell vectors:
Be: 0.000 0.000 0.000
Be: 0.750 0.250 0.500
Zn: 0.500 0.500 0.000
Ag: 0.250 0.750 0.500

---

4.
The following is a PBEsol calculation of a relaxed structure of Be2ZnAg, from the Alexandria database.

Its formation energy from the elements is 0.12 eV per atom. For the uncorrected energy, the calculation gives -3.0999 eV/atom.

Cell lengths 4.717, 4.717, 4.717 Å; angles 144.22, 129.97, 63.02 degrees
Sites, in units of the cell vectors:
Be: 0.000 0.000 0.000
Be: 0.776 0.276 0.500
Zn: 0.252 0.752 0.500
Ag: 0.525 0.525 0.000

---

5.
The following is a PBEsol calculation of a relaxed structure of Be4ZnAg, from the Alexandria database.

Its formation energy from the elements is -0.02 eV per atom. For the uncorrected energy, the calculation gives -3.4977 eV/atom.

Cell lengths 4.411, 4.411, 4.411 Å; angles 60.00, 60.00, 60.00 degrees
Sites, in units of the cell vectors:
Be: 0.125 0.125 0.125
Be: 0.125 0.125 0.625
Be: 0.125 0.625 0.125
Be: 0.625 0.125 0.125
Zn: 0.500 0.500 0.500
Ag: 0.750 0.750 0.750

---

6.
The following is a PBEsol calculation of a relaxed structure of ZrBeAg2, from the Alexandria database.

Its formation energy from the elements is 0.01 eV per atom. For the uncorrected energy, the calculation gives -4.9224 eV/atom.

Cell lengths 2.900, 2.900, 7.349 Å; angles 90.00, 90.00, 90.00 degrees
Sites, in units of the cell vectors:
Zr: 0.000 0.000 0.000
Be: 0.000 0.000 0.500
Ag: 0.500 0.500 0.304
Ag: 0.500 0.500 0.696

---

7.
The following is a PBEsol calculation of a relaxed structure of AgBiBr2, from the Alexandria database.

The raw formation energy comes out at -0.102 eV/atom. For the uncorrected energy, the calculation gives -2.9360 eV/atom.

Cell lengths 10.020, 10.020, 10.020 Å; angles 20.55, 20.55, 20.55 degrees
Sites, in units of the cell vectors:
Ag: 0.000 0.000 0.000
Bi: 0.500 0.500 0.500
Br: 0.084 0.084 0.084
Br: 0.916 0.916 0.916

---

8.
The following is a PBEsol calculation of a relaxed structure of AgBiBr3, from the Alexandria database.

The raw formation energy comes out at 0.005 eV/atom. For the uncorrected energy, the calculation gives -2.6364 eV/atom.

Cell lengths 5.170, 5.170, 5.170 Å; angles 90.00, 90.00, 90.00 degrees
Sites, in units of the cell vectors:
Ag: 0.000 0.000 0.000
Bi: 0.500 0.500 0.500
Br: 0.000 0.000 0.500
Br: 0.000 0.500 0.000
Br: 0.500 0.000 0.000

---

- Which of these has the lowest uncorrected energy?
  Y2BeAg

---

- Look up the uncorrected energy of the fifth one.
  -3.4977 eV/atom